[1]
Entry from Alexandria: LaCdS2 after structural relaxation (GGA-PBE).

Lattice parameters (Å, degrees): 4.1028 4.1028 24.2780 90.00 90.00 120.00
Last column: nearest neighbours and their distance in Å.
Space group R-3m (No. 166, hexagonal axes)
One atom of each set of equivalent atoms:
1 La 0.0000 0.0000 0.0000  2 S 2.65
2 Cd 0.0000 0.0000 0.5000  6 S 2.75
3 S 0.0000 0.0000 0.1091  1 La 2.65, 3 Cd 2.75

Results
* ΔE_f (raw): -13.55 kcal/mol of atoms
* M_tot: 0.09 μB/f.u.
* DOS at the Fermi energy: 2.3 states/eV/f.u.
* V: 29.49 Å³ per atom
* total DFT energy (no corrections): -4.11 eV per atom

[2]
Entry from Alexandria: BaScTl2 after structural relaxation (GGA-PBE).

Lattice parameters (Å, degrees): 3.8548 3.8548 8.1609 90.00 90.00 90.00
Last column: nearest neighbours and their distance in Å.
Space group P4/mmm (No. 123)
One atom of each set of equivalent atoms:
1 Ba 0.0000 0.0000 0.0000  8 Tl 3.66, 4 Ba 3.85, 2 Sc 4.08
2 Sc 0.0000 0.0000 0.5000  8 Tl 3.18
3 Tl 0.5000 0.5000 0.2993  4 Sc 3.18, 1 Tl 3.28

Results
* M_tot: 0.00 μB/f.u.
* DOS at the Fermi energy: 3.0 states/eV/f.u.
* V: 30.32 Å³ per atom
* total DFT energy (no corrections): -3.55 eV per atom

[3]
Entry from Alexandria: TlP3 after structural relaxation (GGA-PBE).

Lattice parameters (Å, degrees): 9.5241 3.2380 6.0559 90.00 112.16 90.00
Last column: nearest neighbours and their distance in Å.
Space group C2/m (No. 12)
One atom of each set of equivalent atoms:
1 Tl 0.0000 0.0000 0.0000  2 Tl 3.24, 10 P 3.36-3.43
2 P 0.0000 0.5000 0.5000  4 P 2.39
3 P 0.1978 0.0000 0.5920  4 P 2.38-2.39

Results
* M_tot: 0.00 μB/f.u.
* DOS at the Fermi energy: 1.4 states/eV/f.u.
* V: 21.62 Å³ per atom
* total DFT energy (no corrections): -4.40 eV per atom

[4]
Entry from Alexandria: CuBSe2N after structural relaxation (GGA-PBE).

Lattice parameters (Å, degrees): 5.3086 5.3086 2.6966 90.00 90.00 90.00
Last column: nearest neighbours and their distance in Å.
Space group P4/mmm (No. 123)
One atom of each set of equivalent atoms:
1 Cu 0.0000 0.0000 0.0000  2 Cu 2.70, 8 Se 2.98
2 B 0.5000 0.5000 0.5000  2 N 1.35
3 Se 0.0000 0.5000 0.5000  2 B 2.65, 2 Se 2.70
4 N 0.5000 0.5000 0.0000  2 B 1.35

Results
* ΔE_f (raw): 7.63 kcal/mol of atoms
* excess energy over the best structure of this formula in the dataset: 0.00 kcal/mol of atoms
* M_tot: 0.00 μB/f.u.
* DOS at the Fermi energy: 3.5 states/eV/f.u.
* V: 15.20 Å³ per atom
* total DFT energy (no corrections): -4.88 eV per atom

[5]
Entry from Alexandria: TaTl3Cr after structural relaxation (GGA-PBE).

Lattice parameters (Å, degrees): 5.4277 5.4277 5.4277 90.00 90.00 90.00
Last column: nearest neighbours and their distance in Å.
Space group Pm-3m (No. 221)
One atom of each set of equivalent atoms:
1 Ta 0.0000 0.0000 0.0000  6 Tl 2.71
2 Tl 0.0000 0.0000 0.5000  2 Ta 2.71
3 Cr 0.5000 0.5000 0.5000  12 Tl 3.84

Results
* excess energy over the best structure of this formula in the dataset: 4.69 kcal/mol of atoms
* M_tot: 0.26 μB/f.u.
* DOS at the Fermi energy: 4.0 states/eV/f.u.
* V: 31.98 Å³ per atom
* total DFT energy (no corrections): -4.08 eV per atom

[6]
Entry from Alexandria: CoSeIN2 after structural relaxation (GGA-PBE).

Lattice parameters (Å, degrees): 3.7975 3.7975 5.6630 90.00 90.00 90.00
Last column: nearest neighbours and their distance in Å.
Space group P4/mmm (No. 123)
One atom of each set of equivalent atoms:
1 Co 0.0000 0.0000 0.0000  4 N 1.90
2 Se 0.0000 0.0000 0.5000  4 I 2.69, 2 Co 2.83
3 I 0.5000 0.5000 0.5000  4 Se 2.69
4 N 0.0000 0.5000 0.0000  2 Co 1.90

Results
* ΔE_f (raw): 31.00 kcal/mol of atoms
* excess energy over the best structure of this formula in the dataset: 0.16 kcal/mol of atoms
* M_tot: 0.00 μB/f.u.
* DOS at the Fermi energy: 4.7 states/eV/f.u.
* V: 16.33 Å³ per atom
* total DFT energy (no corrections): -4.41 eV per atom

[7]
Entry from Alexandria: Sr3Y3ErTe8 after structural relaxation (GGA-PBE).

Lattice parameters (Å, degrees): 8.8797 8.8797 22.8972 90.00 90.00 120.00
Last column: nearest neighbours and their distance in Å.
Space group R-3m (No. 166, hexagonal axes)
One atom of each set of equivalent atoms:
1 Sr 0.0000 0.5000 0.0000  6 Te 3.28-3.29
2 Y 0.0000 0.5000 0.5000  6 Te 3.10-3.11
3 Er 0.0000 0.0000 0.5000  6 Te 3.12
4 Te 0.0000 0.0000 0.2439  3 Y 3.11, 3 Sr 3.28
5 Te 0.0016 0.5008 0.7567  2 Y 3.10, 1 Er 3.12, 2 Sr 3.29

Results
* ΔE_f (raw): -35.11 kcal/mol of atoms
* M_tot: 0.00 μB/f.u.
* DOS at the Fermi energy: 5.1 states/eV/f.u.
* V: 34.75 Å³ per atom
* total DFT energy (no corrections): -5.13 eV per atom

[8]
Entry from Alexandria: SnWS2 after structural relaxation (GGA-PBE).

Lattice parameters (Å, degrees): 6.1993 6.1993 10.4635 90.00 90.00 90.00
Last column: nearest neighbours and their distance in Å.
Space group I-42d (No. 122)
One atom of each set of equivalent atoms:
1 Sn 0.0000 0.0000 0.0000  4 S 2.88
2 W 0.0000 0.0000 0.5000  4 S 2.29
3 S 0.1704 0.2500 0.6250  2 W 2.29

Results
* ΔE_f (raw): 3.71 kcal/mol of atoms
* M_tot: 0.00 μB/f.u.
* DOS at the Fermi energy: 1.6 states/eV/f.u.
* V: 25.13 Å³ per atom
* total DFT energy (no corrections): -6.14 eV per atom

[9]
Entry from Alexandria: Rb3Ce2DyS6 after structural relaxation (GGA-PBE).

Lattice parameters (Å, degrees): 7.2663 12.5855 8.0502 90.00 107.52 90.00
Last column: nearest neighbours and their distance in Å.
Space group C2/m (No. 12)
One atom of each set of equivalent atoms:
1 Rb 0.0000 0.0000 0.0000  6 S 3.35-3.41
2 Rb 0.0000 0.3328 0.0000  6 S 3.35-3.41
3 Ce 0.0000 0.1666 0.5000  6 S 2.87
4 Dy 0.0000 0.5000 0.5000  6 S 2.79
5 S 0.2274 0.3374 0.6943  1 Dy 2.79, 2 Ce 2.87
6 S 0.2396 0.0000 0.6944  1 Dy 2.79, 2 Ce 2.87

Results
* ΔE_f (raw): -41.28 kcal/mol of atoms
* M_tot: 2.01 μB/f.u.
* DOS at the Fermi energy: 11.7 states/eV/f.u.
* V: 29.25 Å³ per atom
* total DFT energy (no corrections): -5.47 eV per atom

[10]
Entry from Alexandria: Y2PbBr after structural relaxation (GGA-PBE).

Lattice parameters (Å, degrees): 5.0198 3.7232 12.1222 90.00 90.00 90.00
Last column: nearest neighbours and their distance in Å.
Space group Amm2 (No. 38)
One atom of each set of equivalent atoms:
1 Y 0.0000 0.0000 0.0000  1 Br 2.79
2 Y 0.5000 0.0000 0.2688  4 Br 3.12, 3 Pb 3.26-3.36
3 Pb 0.5000 0.0000 0.5379  7 Y 3.16-3.36
4 Br 0.0000 0.0000 0.7697  5 Y 2.79-3.12

Results
* ΔE_f (raw): -16.32 kcal/mol of atoms
* excess energy over the best structure of this formula in the dataset: 1.42 kcal/mol of atoms
* M_tot: 0.00 μB/f.u.
* DOS at the Fermi energy: 3.2 states/eV/f.u.
* V: 28.32 Å³ per atom
* total DFT energy (no corrections): -5.29 eV per atom

[11]
Entry from Alexandria: K6Au2IO after structural relaxation (GGA-PBE).

Lattice parameters (Å, degrees): 7.9739 8.5297 13.8642 90.00 124.21 90.00
Last column: nearest neighbours and their distance in Å.
Space group P2_1/c (No. 14)
One atom of each set of equivalent atoms:
1 K 0.0901 0.0521 0.2125  1 O 2.65
2 K 0.2182 0.7325 0.0692  1 O 2.70
3 K 0.3263 0.1593 0.0551  1 O 2.64
4 Au 0.2776 0.0754 0.7501  6 K 3.42-3.71
5 I 0.5000 0.0000 0.5000  6 K 3.48-3.51
6 O 0.0000 0.0000 0.0000  6 K 2.64-2.70

Results
* ΔE_f (raw): -16.29 kcal/mol of atoms
* M_tot: 0.00 μB/f.u.
* DOS at the Fermi energy: 3.9 states/eV/f.u.
* V: 38.99 Å³ per atom
* total DFT energy (no corrections): -2.67 eV per atom

[12]
Entry from Alexandria: LaIn2Cu after structural relaxation (GGA-PBE).

Lattice parameters (Å, degrees): 3.5758 3.5758 7.6461 90.00 90.00 90.00
Last column: nearest neighbours and their distance in Å.
Space group P4mm (No. 99)
One atom of each set of equivalent atoms:
1 La 0.0000 0.0000 0.0000  4 Cu 3.21, 5 In 3.32-3.46, 4 La 3.58
2 In 0.0000 0.0000 0.4346  4 Cu 2.86, 4 In 3.20
3 In 0.5000 0.5000 0.6905  8 In 3.20-3.58, 1 Cu 3.30, 4 La 3.46
4 Cu 0.5000 0.5000 0.2594  4 In 2.86

Results
* M_tot: 0.02 μB/f.u.
* DOS at the Fermi energy: 3.1 states/eV/f.u.
* V: 24.44 Å³ per atom
* total DFT energy (no corrections): -3.79 eV per atom